Computed, not measured: a geometry-optimized ZrMo3F structure at the PBE+U level of DFT.

```
data_ZrMo3F
_chemical_formula_sum 'Zr1 Mo3 F1'
_symmetry_space_group_name_H-M 'P m -3 m'
_symmetry_Int_Tables_number 221
_symmetry_space_group_name_Hall '-P 4 2 3'
_cell_length_a 5.300
_cell_length_b 5.300
_cell_length_c 5.300
_cell_angle_alpha 90.00
_cell_angle_beta 90.00
_cell_angle_gamma 90.00
loop_
_atom_site_label
_atom_site_type_symbol
_atom_site_fract_x
_atom_site_fract_y
_atom_site_fract_z
_atom_site_occupancy
Zr1 Zr 0.000 0.000 0.000 1
Mo1 Mo 0.000 0.000 0.500 1
F1 F 0.500 0.500 0.500 1
```

- Crystal system: cubic
- Relative energy among the computed polymorphs: 0.983 eV/atom
- Total moment: 11.39 μB/f.u.
- Total DFT energy (no corrections): -4.38 eV per atom